No. 1
# Cd3Sb2Pd4, relaxed, DFT PBE
data_Cd3Sb2Pd4
_chemical_formula_sum 'Cd6 Sb4 Pd8'
_symmetry_space_group_name_H-M 'C 1 2/m 1'
_symmetry_Int_Tables_number 12
_symmetry_space_group_name_Hall '-C 2y'
_cell_length_a 8.859
_cell_length_b 4.388
_cell_length_c 9.056
_cell_angle_alpha 90.00
_cell_angle_beta 95.43
_cell_angle_gamma 90.00
loop_
_atom_site_label
_atom_site_fract_x
_atom_site_fract_y
_atom_site_fract_z
Cd1 0.000 0.000 0.000
Cd2 0.146 0.500 0.449
Sb1 0.174 0.500 0.819
Pd1 0.064 0.000 0.656
Pd2 0.135 0.500 0.140
# Crystal system: monoclinic
# Formation energy from raw total energies: -301 meV per atom


No. 2
# GaAgAsBr2, relaxed, DFT PBE
data_GaAgAsBr2
_chemical_formula_sum 'Ga1 Ag1 As1 Br2'
_symmetry_space_group_name_H-M 'P 4/m m m'
_symmetry_Int_Tables_number 123
_symmetry_space_group_name_Hall '-P 4 2'
_cell_length_a 5.299
_cell_length_b 5.299
_cell_length_c 5.065
_cell_angle_alpha 90.00
_cell_angle_beta 90.00
_cell_angle_gamma 90.00
loop_
_atom_site_label
_atom_site_fract_x
_atom_site_fract_y
_atom_site_fract_z
Ga1 0.000 0.000 0.000
Ag1 0.500 0.500 0.500
As1 0.000 0.000 0.500
Br1 0.000 0.500 0.000
# Crystal system: tetragonal
# Formation energy from raw total energies: 244 meV per atom


No. 3
# SrLiCa2Ni, relaxed, DFT PBE
data_SrLiCa2Ni
_chemical_formula_sum 'Sr1 Li1 Ca2 Ni1'
_symmetry_space_group_name_H-M 'P 4/m m m'
_symmetry_Int_Tables_number 123
_symmetry_space_group_name_Hall '-P 4 2'
_cell_length_a 5.500
_cell_length_b 5.500
_cell_length_c 5.805
_cell_angle_alpha 90.00
_cell_angle_beta 90.00
_cell_angle_gamma 90.00
loop_
_atom_site_label
_atom_site_fract_x
_atom_site_fract_y
_atom_site_fract_z
Sr1 0.000 0.000 0.000
Li1 0.500 0.500 0.000
Ca1 0.000 0.500 0.500
Ni1 0.000 0.000 0.500
# Crystal system: tetragonal
# Energy of formation: 0.00 eV per atom


No. 4
# Sr3AgHg3, relaxed, DFT PBE
data_Sr3AgHg3
_chemical_formula_sum 'Sr12 Ag4 Hg12'
_symmetry_space_group_name_H-M 'C 1 2/m 1'
_symmetry_Int_Tables_number 12
_symmetry_space_group_name_Hall '-C 2y'
_cell_length_a 12.064
_cell_length_b 4.392
_cell_length_c 17.432
_cell_angle_alpha 90.00
_cell_angle_beta 106.54
_cell_angle_gamma 90.00
loop_
_atom_site_label
_atom_site_fract_x
_atom_site_fract_y
_atom_site_fract_z
Sr1 0.015 0.000 0.386
Sr2 0.108 0.000 0.923
Sr3 0.232 0.000 0.233
Ag1 0.218 0.500 0.377
Hg1 0.012 0.500 0.233
Hg2 0.112 0.500 0.077
Hg3 0.149 0.500 0.538
# Crystal system: monoclinic
# Energy of formation: -0.45 eV per atom


No. 5
# Y2HgBi, relaxed, DFT PBE
data_Y2HgBi
_chemical_formula_sum 'Y2 Hg1 Bi1'
_symmetry_space_group_name_H-M 'P 4/m m m'
_symmetry_Int_Tables_number 123
_symmetry_space_group_name_Hall '-P 4 2'
_cell_length_a 3.985
_cell_length_b 3.985
_cell_length_c 6.936
_cell_angle_alpha 90.00
_cell_angle_beta 90.00
_cell_angle_gamma 90.00
loop_
_atom_site_label
_atom_site_fract_x
_atom_site_fract_y
_atom_site_fract_z
Y1 0.000 0.000 0.249
Hg1 0.500 0.500 0.000
Bi1 0.500 0.500 0.500
# Crystal system: tetragonal
# Energy of formation: -0.58 eV per atom


No. 6
# Sb2RuPt, relaxed, DFT PBE
data_Sb2RuPt
_chemical_formula_sum 'Sb2 Ru1 Pt1'
_symmetry_space_group_name_H-M 'P 4 m m'
_symmetry_Int_Tables_number 99
_symmetry_space_group_name_Hall 'P 4 -2'
_cell_length_a 3.246
_cell_length_b 3.246
_cell_length_c 8.043
_cell_angle_alpha 90.00
_cell_angle_beta 90.00
_cell_angle_gamma 90.00
loop_
_atom_site_label
_atom_site_fract_x
_atom_site_fract_y
_atom_site_fract_z
Sb1 0.000 0.000 0.000
Sb2 0.500 0.500 0.408
Ru1 0.500 0.500 0.817
Pt1 0.000 0.000 0.592
# Crystal system: tetragonal
# Formation energy from raw total energies: -34 meV per atom